AcPr3Er2, optimized geometry, DFT PBE; excess energy over the best structure of this formula in the dataset = 180 kJ/mol of formula units; formation energy = 351.7 meV/atom; symmetry = Immm (71)
1.0
3.547 0.000 0.000
0.000 6.225 0.000
0.000 0.000 19.841
Ac Pr Er
2 6 4
direct
0.000 0.000 0.000
0.500 0.500 0.500
0.000 0.000 0.191
0.000 0.000 0.809
0.000 0.500 0.000
0.500 0.000 0.500
0.500 0.500 0.309
0.500 0.500 0.691
0.000 0.000 0.361
0.000 0.000 0.639
0.500 0.500 0.139
0.500 0.500 0.861